Record 1
A geometry-optimized ScMn3Cl structure, computed with PBE-GGA.

Structure (POSCAR):
```
ScMn3Cl
1.0
4.297 0.000 0.000
0.000 4.297 0.000
0.000 0.000 4.297
Sc Mn Cl
1 3 1
Cartesian
0.000 0.000 0.000
0.000 2.148 2.148
2.148 0.000 2.148
2.148 2.148 0.000
2.148 2.148 2.148
```

Calculated values
**Space-group type**: Pm-3m

---

Record 2
A geometry-optimized ScMn2Cl structure, computed with PBE-GGA.

Structure (POSCAR):
```
ScMn2Cl
1.0
-1.557 2.615 4.556
1.557 -2.615 4.556
1.557 2.615 -4.556
Sc Mn Cl
1 2 1
Cartesian
0.000 0.000 0.000
0.000 0.000 4.265
0.000 2.615 2.021
1.557 0.000 2.096
```

Calculated values
**Space-group type**: Imm2

---

Record 3
A geometry-optimized ScMn3Cl structure, computed with PBE-GGA.

Structure (POSCAR):
```
ScMn3Cl
1.0
4.903 0.000 0.000
0.000 4.903 0.000
0.000 0.000 4.903
Sc Mn Cl
1 3 1
Cartesian
0.000 0.000 0.000
0.000 0.000 2.452
0.000 2.452 0.000
2.452 0.000 0.000
2.452 2.452 2.452
```

Calculated values
**Space-group type**: Pm-3m

---

In the order shown, the computed offset from the most stable computed form values come out to 0.0; 453.7; 899.2 meV/atom.
In the order shown, the computed formation energy (no corrections) values come out to 2.121; 0.639; 6.617 eV/f.u..